Material: Ba4RhBr2
Method: DFT, GGA-PBE
State: optimized geometry

Values from the calculation:
total DFT energy (no corrections) = -3.6395 eV/atom
excess energy over the best structure of this formula in the dataset = 0 meV per atom
total magnetic moment = 0.0000 μB per atom

Lattice parameters (Å, degrees): 18.423 4.570 7.662 90.00 113.54 90.00
Space group C2/m (No. 12)
One atom of each set of equivalent atoms:
Ba: 0.104 0.000 0.264 [4 per cell]
Ba: 0.108 0.500 0.788 [4 per cell]
Rh: 0.000 0.500 0.000 [2 per cell]
Br: 0.244 0.000 0.753 [4 per cell]

Material: Ba2RhBr
Method: DFT, GGA-PBE
State: optimized geometry

Values from the calculation:
total DFT energy (no corrections) = -3.7717 eV/atom
excess energy over the best structure of this formula in the dataset = 377 meV per atom
total magnetic moment = 0.0000 μB per atom

Lattice parameters (Å, degrees): 4.545 4.545 12.282 90.00 90.00 90.00
Space group I-4m2 (No. 119)
One atom of each set of equivalent atoms:
Ba: 0.000 0.000 0.000 [2 per cell]
Ba: 0.000 0.500 0.250 [2 per cell]
Rh: 0.000 0.000 0.500 [2 per cell]
Br: 0.000 0.500 0.750 [2 per cell]

Material: Ba8RhS3Br4
Method: DFT, GGA-PBE
State: optimized geometry

Values from the calculation:
total DFT energy (no corrections) = -4.2457 eV/atom
total magnetic moment = 0.0005 μB per atom

Lattice parameters (Å, degrees): 9.1891 9.1891 23.6201 90.00 90.00 120.00
Space group R-3m (No. 166, hexagonal axes)
One atom of each set of equivalent atoms:
Ba: 0.0000 0.0000 0.2392 [6 per cell]
Ba: 0.0061 0.5030 0.2381 [18 per cell]
Rh: 0.0000 0.0000 0.5000 [3 per cell]
S: 0.0000 0.5000 0.5000 [9 per cell]
Br: 0.0000 0.0000 0.0000 [3 per cell]
Br: 0.0000 0.5000 0.0000 [9 per cell]

Material: Ba8Rh3SBr4
Method: DFT, GGA-PBE
State: optimized geometry

Values from the calculation:
total DFT energy (no corrections) = -4.2103 eV/atom
total magnetic moment = 0.0000 μB per atom

Lattice parameters (Å, degrees): 9.1582 9.1582 24.3025 90.00 90.00 120.00
Space group R-3m (No. 166, hexagonal axes)
One atom of each set of equivalent atoms:
Ba: 0.0000 0.0000 0.2405 [6 per cell]
Ba: 0.0080 0.5040 0.7651 [18 per cell]
Rh: 0.0000 0.5000 0.5000 [9 per cell]
S: 0.0000 0.0000 0.5000 [3 per cell]
Br: 0.0000 0.0000 0.0000 [3 per cell]
Br: 0.0000 0.5000 0.0000 [9 per cell]

Material: BaRh2SBr
Method: DFT, GGA-PBE
State: optimized geometry

Values from the calculation:
total DFT energy (no corrections) = -3.1462 eV/atom
total magnetic moment = 0.6188 μB per atom

Lattice parameters (Å, degrees): 5.491 5.491 5.684 90.00 90.00 90.00
Space group P4/mmm (No. 123)
One atom of each set of equivalent atoms:
Ba: 0.000 0.000 0.000 [1 per cell]
Rh: 0.000 0.500 0.000 [2 per cell]
S: 0.000 0.000 0.500 [1 per cell]
Br: 0.500 0.500 0.500 [1 per cell]

Material: Ba6RhSe2Br3
Method: DFT, GGA-PBE
State: optimized geometry

Values from the calculation:
total DFT energy (no corrections) = -4.1207 eV/atom
total magnetic moment = 0.1697 μB per atom

Lattice parameters (Å, degrees): 8.224 14.187 8.368 90.00 109.23 90.00
Space group C2/m (No. 12)
One atom of each set of equivalent atoms:
Ba: 0.229 0.157 0.217 [8 per cell]
Ba: 0.242 0.000 0.779 [4 per cell]
Rh: 0.000 0.000 0.000 [2 per cell]
Se: 0.000 0.334 0.000 [4 per cell]
Br: 0.000 0.175 0.500 [4 per cell]
Br: 0.000 0.500 0.500 [2 per cell]

Material: Ba4RhSeBr2
Method: DFT, GGA-PBE
State: optimized geometry

Values from the calculation:
total DFT energy (no corrections) = -4.1475 eV/atom
total magnetic moment = 0.0001 μB per atom

Lattice parameters (Å, degrees): 8.211 4.609 8.435 90.00 107.12 90.00
Space group P2/m (No. 10)
One atom of each set of equivalent atoms:
Ba: 0.229 0.000 0.217 [2 per cell]
Ba: 0.239 0.500 0.791 [2 per cell]
Rh: 0.000 0.500 0.000 [1 per cell]
Se: 0.500 0.000 0.000 [1 per cell]
Br: 0.000 0.000 0.500 [1 per cell]
Br: 0.500 0.500 0.500 [1 per cell]

Material: Ba2SiRhBr
Method: DFT, GGA-PBE
State: optimized geometry

Values from the calculation:
total DFT energy (no corrections) = -4.5441 eV/atom
total magnetic moment = 0.0000 μB per atom

Lattice parameters (Å, degrees): 6.145 6.145 4.554 90.00 90.00 90.00
Space group P4/mmm (No. 123)
One atom of each set of equivalent atoms:
Ba: 0.000 0.500 0.000 [2 per cell]
Si: 0.000 0.000 0.500 [1 per cell]
Rh: 0.000 0.000 0.000 [1 per cell]
Br: 0.500 0.500 0.500 [1 per cell]

Please write out number 3 again, unchanged.
Material: Ba8RhS3Br4
Method: DFT, GGA-PBE
State: optimized geometry

Values from the calculation:
total DFT energy (no corrections) = -4.2457 eV/atom
total magnetic moment = 0.0005 μB per atom

Lattice parameters (Å, degrees): 9.1891 9.1891 23.6201 90.00 90.00 120.00
Space group R-3m (No. 166, hexagonal axes)
One atom of each set of equivalent atoms:
Ba: 0.0000 0.0000 0.2392 [6 per cell]
Ba: 0.0061 0.5030 0.2381 [18 per cell]
Rh: 0.0000 0.0000 0.5000 [3 per cell]
S: 0.0000 0.5000 0.5000 [9 per cell]
Br: 0.0000 0.0000 0.0000 [3 per cell]
Br: 0.0000 0.5000 0.0000 [9 per cell]